#1
Below is a relaxed Te4Ir crystal, with properties calculated at the PBEsol level.

Geometry as CIF:
```
data_Te4Ir
_symmetry_space_group_name_H-M 'I 4/m'
_symmetry_Int_Tables_number 87
_symmetry_space_group_name_Hall '-I 4'
_cell_length_a 8.7609
_cell_length_b 8.7609
_cell_length_c 3.5260
_cell_angle_alpha 90.00
_cell_angle_beta 90.00
_cell_angle_gamma 90.00
loop_
_atom_site_label
_atom_site_type_symbol
_atom_site_fract_x
_atom_site_fract_y
_atom_site_fract_z
Te1 Te 0.0949 0.2271 0.0000
Ir1 Ir 0.0000 0.0000 0.5000
```

---

#2
Below is a relaxed Te4Ir crystal, with properties calculated at the PBEsol level.

Geometry as CIF:
```
data_Te4Ir
_symmetry_space_group_name_H-M 'I m -3 m'
_symmetry_Int_Tables_number 229
_symmetry_space_group_name_Hall '-I 4 2 3'
_cell_length_a 6.4856
_cell_length_b 6.4856
_cell_length_c 6.4856
_cell_angle_alpha 90.00
_cell_angle_beta 90.00
_cell_angle_gamma 90.00
loop_
_atom_site_label
_atom_site_type_symbol
_atom_site_fract_x
_atom_site_fract_y
_atom_site_fract_z
Te1 Te 0.2500 0.2500 0.2500
Ir1 Ir 0.0000 0.0000 0.0000
```

---

What should be chosen as the most stable of them? Choose #1.

---

#1
Below is a relaxed Cd2HgPb crystal, with properties calculated at the PBEsol level.

Geometry as CIF:
```
data_Cd2HgPb
_symmetry_space_group_name_H-M 'P 4 m m'
_symmetry_Int_Tables_number 99
_cell_length_a 3.6535
_cell_length_b 3.6535
_cell_length_c 7.1714
_cell_angle_alpha 90.00
_cell_angle_beta 90.00
_cell_angle_gamma 90.00
loop_
_symmetry_equiv_pos_as_xyz
'x,y,z'
'-y,x,z'
'-x,-y,z'
'y,-x,z'
'-x,y,z'
'y,x,z'
'x,-y,z'
'-y,-x,z'
loop_
_atom_site_label
_atom_site_type_symbol
_atom_site_fract_x
_atom_site_fract_y
_atom_site_fract_z
Cd1 Cd 0.0000 0.0000 0.0000
Cd2 Cd 0.5000 0.5000 0.2228
Hg1 Hg 0.0000 0.0000 0.4473
Pb1 Pb 0.5000 0.5000 0.7228
```

---

#2
Below is a relaxed Cd2HgPb crystal, with properties calculated at the PBEsol level.

Geometry as CIF:
```
data_Cd2HgPb
_symmetry_space_group_name_H-M 'I m m 2'
_symmetry_Int_Tables_number 44
_cell_length_a 3.4448
_cell_length_b 5.3854
_cell_length_c 10.3699
_cell_angle_alpha 90.00
_cell_angle_beta 90.00
_cell_angle_gamma 90.00
loop_
_symmetry_equiv_pos_as_xyz
'x,y,z'
'-x,-y,z'
'-x,y,z'
'x,-y,z'
'x+1/2,y+1/2,z+1/2'
'-x+1/2,-y+1/2,z+1/2'
'-x+1/2,y+1/2,z+1/2'
'x+1/2,-y+1/2,z+1/2'
loop_
_atom_site_label
_atom_site_type_symbol
_atom_site_fract_x
_atom_site_fract_y
_atom_site_fract_z
Cd1 Cd 0.0000 0.0000 0.0000
Cd2 Cd 0.0000 0.5000 0.2641
Hg1 Hg 0.0000 0.5000 0.7369
Pb1 Pb 0.0000 0.0000 0.5011
```

---

What should be chosen as the most stable of them? Choose #1.

---

#1
Below is a relaxed LaHg2P2 crystal, with properties calculated at the PBEsol level.

Geometry as CIF:
```
data_LaHg2P2
_symmetry_space_group_name_H-M 'I 4/m m m'
_symmetry_Int_Tables_number 139
_symmetry_space_group_name_Hall '-I 4 2'
_cell_length_a 4.0877
_cell_length_b 4.0877
_cell_length_c 13.2856
_cell_angle_alpha 90.00
_cell_angle_beta 90.00
_cell_angle_gamma 90.00
loop_
_atom_site_label
_atom_site_type_symbol
_atom_site_fract_x
_atom_site_fract_y
_atom_site_fract_z
La1 La 0.0000 0.0000 0.0000
Hg1 Hg 0.0000 0.5000 0.2500
P1 P 0.0000 0.0000 0.4184
```

---

#2
Below is a relaxed LaHg2P2 crystal, with properties calculated at the PBEsol level.

Geometry as CIF:
```
data_LaHg2P2
_symmetry_space_group_name_H-M 'I 4/m m m'
_symmetry_Int_Tables_number 139
_symmetry_space_group_name_Hall '-I 4 2'
_cell_length_a 4.8557
_cell_length_b 4.8557
_cell_length_c 9.3718
_cell_angle_alpha 90.00
_cell_angle_beta 90.00
_cell_angle_gamma 90.00
loop_
_atom_site_label
_atom_site_type_symbol
_atom_site_fract_x
_atom_site_fract_y
_atom_site_fract_z
La1 La 0.0000 0.0000 0.0000
Hg1 Hg 0.0000 0.0000 0.3579
P1 P 0.0000 0.5000 0.2500
```

---

What should be chosen as the most stable of them? Choose #1.

---

#1
Below is a relaxed Zr2TaOs crystal, with properties calculated at the PBEsol level.

Geometry as CIF:
```
data_Zr2TaOs
_symmetry_space_group_name_H-M 'P 1 2/m 1'
_symmetry_Int_Tables_number 10
_cell_length_a 2.9892
_cell_length_b 4.5766
_cell_length_c 5.3933
_cell_angle_alpha 90.00
_cell_angle_beta 102.56
_cell_angle_gamma 90.00
loop_
_symmetry_equiv_pos_as_xyz
'x,y,z'
'-x,-y,-z'
'-x,y,-z'
'x,-y,z'
loop_
_atom_site_label
_atom_site_type_symbol
_atom_site_fract_x
_atom_site_fract_y
_atom_site_fract_z
Zr1 Zr 0.2264 0.0000 0.2588
Ta1 Ta 0.5000 0.5000 0.0000
Os1 Os 0.0000 0.5000 0.5000
```

---

#2
Below is a relaxed Zr2TaOs crystal, with properties calculated at the PBEsol level.

Geometry as CIF:
```
data_Zr2TaOs
_symmetry_space_group_name_H-M 'I m m 2'
_symmetry_Int_Tables_number 44
_cell_length_a 3.2389
_cell_length_b 4.6934
_cell_length_c 9.5990
_cell_angle_alpha 90.00
_cell_angle_beta 90.00
_cell_angle_gamma 90.00
loop_
_symmetry_equiv_pos_as_xyz
'x,y,z'
'-x,-y,z'
'-x,y,z'
'x,-y,z'
'x+1/2,y+1/2,z+1/2'
'-x+1/2,-y+1/2,z+1/2'
'-x+1/2,y+1/2,z+1/2'
'x+1/2,-y+1/2,z+1/2'
loop_
_atom_site_label
_atom_site_type_symbol
_atom_site_fract_x
_atom_site_fract_y
_atom_site_fract_z
Zr1 Zr 0.0000 0.0000 0.0000
Zr2 Zr 0.0000 0.5000 0.2339
Ta1 Ta 0.0000 0.0000 0.4681
Os1 Os 0.0000 0.5000 0.7422
```

---

What should be chosen as the most stable of them? Choose #2.

---

#1
Below is a relaxed CaCuAg2 crystal, with properties calculated at the PBEsol level.

Geometry as CIF:
```
data_CaCuAg2
_symmetry_space_group_name_H-M 'P 1 m 1'
_symmetry_Int_Tables_number 6
_cell_length_a 3.4463
_cell_length_b 4.2384
_cell_length_c 5.5131
_cell_angle_alpha 90.00
_cell_angle_beta 108.00
_cell_angle_gamma 90.00
loop_
_symmetry_equiv_pos_as_xyz
'x,y,z'
'x,-y,z'
loop_
_atom_site_label
_atom_site_type_symbol
_atom_site_fract_x
_atom_site_fract_y
_atom_site_fract_z
Ca1 Ca 0.0000 0.0000 0.0000
Cu1 Cu 0.5994 0.5000 0.2013
Ag1 Ag 0.3222 0.5000 0.6463
Ag2 Ag 0.7339 0.0000 0.4690
```

---

#2
Below is a relaxed CaCuAg2 crystal, with properties calculated at the PBEsol level.

Geometry as CIF:
```
data_CaCuAg2
_symmetry_space_group_name_H-M 'P 4 m m'
_symmetry_Int_Tables_number 99
_cell_length_a 3.4563
_cell_length_b 3.4563
_cell_length_c 6.2412
_cell_angle_alpha 90.00
_cell_angle_beta 90.00
_cell_angle_gamma 90.00
loop_
_symmetry_equiv_pos_as_xyz
'x,y,z'
'-y,x,z'
'-x,-y,z'
'y,-x,z'
'-x,y,z'
'y,x,z'
'x,-y,z'
'-y,-x,z'
loop_
_atom_site_label
_atom_site_type_symbol
_atom_site_fract_x
_atom_site_fract_y
_atom_site_fract_z
Ca1 Ca 0.0000 0.0000 0.0000
Cu1 Cu 0.5000 0.5000 0.2853
Ag1 Ag 0.0000 0.0000 0.4739
Ag2 Ag 0.5000 0.5000 0.7037
```

---

What should be chosen as the most stable of them? Choose #2.

---

#1
Below is a relaxed MnReAs crystal, with properties calculated at the PBEsol level.

Geometry as CIF:
```
data_MnReAs
_symmetry_space_group_name_H-M 'I 4 m m'
_symmetry_Int_Tables_number 107
_symmetry_space_group_name_Hall 'I 4 -2'
_cell_length_a 2.8783
_cell_length_b 2.8783
_cell_length_c 9.3493
_cell_angle_alpha 90.00
_cell_angle_beta 90.00
_cell_angle_gamma 90.00
loop_
_atom_site_label
_atom_site_type_symbol
_atom_site_fract_x
_atom_site_fract_y
_atom_site_fract_z
Mn1 Mn 0.0000 0.0000 0.0000
Re1 Re 0.0000 0.0000 0.6754
As1 As 0.0000 0.0000 0.3526
```

---

#2
Below is a relaxed MnReAs crystal, with properties calculated at the PBEsol level.

Geometry as CIF:
```
data_MnReAs
_symmetry_space_group_name_H-M 'P -6 m 2'
_symmetry_Int_Tables_number 187
_symmetry_space_group_name_Hall 'P -6 2'
_cell_length_a 4.0372
_cell_length_b 4.0372
_cell_length_c 2.7575
_cell_angle_alpha 90.00
_cell_angle_beta 90.00
_cell_angle_gamma 120.00
loop_
_atom_site_label
_atom_site_type_symbol
_atom_site_fract_x
_atom_site_fract_y
_atom_site_fract_z
Mn1 Mn 0.0000 0.0000 0.0000
Re1 Re 0.3333 0.6667 0.5000
As1 As 0.6667 0.3333 0.0000
```

---

What should be chosen as the most stable of them? Choose #1.

---

#1
Below is a relaxed AsBr2Cl crystal, with properties calculated at the PBEsol level.

Geometry as CIF:
```
data_AsBr2Cl
_symmetry_space_group_name_H-M 'F -4 3 m'
_symmetry_Int_Tables_number 216
_symmetry_space_group_name_Hall 'F -4 2 3'
_cell_length_a 6.9528
_cell_length_b 6.9528
_cell_length_c 6.9528
_cell_angle_alpha 90.00
_cell_angle_beta 90.00
_cell_angle_gamma 90.00
loop_
_atom_site_label
_atom_site_type_symbol
_atom_site_fract_x
_atom_site_fract_y
_atom_site_fract_z
As1 As 0.0000 0.0000 0.0000
Br1 Br 0.0000 0.0000 0.5000
Br2 Br 0.2500 0.2500 0.7500
Cl1 Cl 0.2500 0.2500 0.2500
```

---

#2
Below is a relaxed AsBr2Cl crystal, with properties calculated at the PBEsol level.

Geometry as CIF:
```
data_AsBr2Cl
_symmetry_space_group_name_H-M 'P 1 m 1'
_symmetry_Int_Tables_number 6
_cell_length_a 6.1670
_cell_length_b 3.7106
_cell_length_c 6.3523
_cell_angle_alpha 90.00
_cell_angle_beta 109.96
_cell_angle_gamma 90.00
loop_
_symmetry_equiv_pos_as_xyz
'x,y,z'
'x,-y,z'
loop_
_atom_site_label
_atom_site_type_symbol
_atom_site_fract_x
_atom_site_fract_y
_atom_site_fract_z
As1 As 0.0000 0.0000 0.0000
Br1 Br 0.2317 0.5000 0.2900
Br2 Br 0.6842 0.0000 0.1209
Cl1 Cl 0.8468 0.5000 0.7175
```

---

What should be chosen as the most stable of them? Choose #2.